Compound: LiSm3Cd2
Source: the Alexandria database
Functional: GGA-PBE
Structure: optimized geometry

Lattice parameters (Å, degrees): 3.8613 5.3399 8.4206 108.49 90.00 90.00
With the nearest neighbours (Å) after each atom.
Fractional positions:
Cd 0.0000 0.6638 0.3276  8 Sm 3.25-3.33
Li 0.0000 0.0000 0.0000  8 Sm 3.29
Sm 0.5000 0.5000 0.0000  4 Cd 3.25, 4 Li 3.29
Sm 0.5000 0.8333 0.6666  2 Li 3.29, 6 Cd 3.30-3.33
Sm 0.5000 0.1667 0.3334  2 Li 3.29, 6 Cd 3.30-3.33
Cd 0.0000 0.3362 0.6724  8 Sm 3.25-3.33

The formation energy is -189 meV per atom.